VASP calculation (PBE) on a geometry-optimized TaNiOs structure.

Computed properties:
**Spin magnetization**: 0.000 μB per atom
**Formation enthalpy at 0 K**: -0.200 eV/atom
**Space group**: Cm
**Crystal system**: monoclinic
**Total DFT energy (no corrections)**: -117.86 eV/cell

Lattice parameters (Å, degrees): 5.371 3.913 8.693 90.00 107.43 90.00
Element x y z (fractional)
Ni1 0.251 0.500 0.651
Ni2 0.926 0.500 0.979
Ni3 0.926 0.000 0.479
Ni4 0.251 0.000 0.151
Ta1 0.070 0.500 0.302
Ta2 0.436 0.500 0.004
Ta3 0.436 0.000 0.504
Ta4 0.070 0.000 0.802
Os1 0.579 0.000 0.830
Os2 0.755 0.000 0.154
Os3 0.755 0.500 0.654
Os4 0.579 0.500 0.330

VASP calculation (PBE) on a geometry-optimized CsGeP structure.

Computed properties:
**Spin magnetization**: 0.000 μB per atom
**Formation enthalpy at 0 K**: -0.156 eV/atom
**Space group**: Cm
**Crystal system**: monoclinic
**Total DFT energy (no corrections)**: -22.70 eV/cell

Lattice parameters (Å, degrees): 5.361 3.648 14.082 90.00 111.76 90.00
Element x y z (fractional)
Cs1 0.051 0.500 0.877
Cs2 0.051 0.000 0.377
P1 0.429 0.500 0.250
P2 0.429 0.000 0.750
Ge1 0.318 0.500 0.638
Ge2 0.318 0.000 0.138

Number 1 is which compound?
TaNiOs

Which value of spin magnetization does entry 2 give?
0.000 μB per atom

spin magnetization of number 2 (CsGeP)?
0.000 μB per atom

Which value of spin magnetization does entry 1 give?
0.000 μB per atom